Record 1
TlCd2Se | PBE-GGA | relaxed

Excess energy over the best structure of this formula in the dataset ... 0.0089 eV/atom

Cell and atoms, written as POSCAR:
```
TlCd2Se
1.0
4.042 0.000 0.000
0.000 5.643 -0.147
0.000 1.665 4.931
Cd Se Tl
2 1 1
direct
0.000 0.015 0.046
0.000 0.485 0.454
0.500 0.250 0.250
0.500 0.750 0.750
```

***

Record 2
TlCdSe3 | PBE-GGA | relaxed

Final energy ... -12.79 eV for the cell shown

Cell and atoms, written as POSCAR:
```
TlCdSe3
1.0
-4.105 -3.301 -0.803
3.190 -3.313 -2.690
1.167 -2.553 4.529
Se Cd Tl
3 1 1
direct
0.000 0.500 0.000
0.500 0.000 0.000
0.000 0.000 0.500
0.000 0.000 0.000
0.500 0.500 0.500
```

***

Record 3
TlCdSe2 | PBE-GGA | relaxed

Final energy ... -11.54 eV for the cell shown

Cell and atoms, written as POSCAR:
```
TlCdSe2
1.0
-3.396 2.176 0.678
-3.291 -0.557 -2.364
-4.615 -4.595 3.968
Cd Tl Se
1 1 2
direct
0.668 0.668 0.997
0.499 0.499 0.503
0.073 0.073 0.782
0.260 0.260 0.219
```

***

Record 4
TlCd2Se | PBE-GGA | relaxed

Excess energy over the best structure of this formula in the dataset ... 0.1267 eV/atom

Cell and atoms, written as POSCAR:
```
TlCd2Se
1.0
3.708 0.268 0.000
-0.806 3.629 0.000
0.000 0.000 7.537
Cd Se Tl
2 1 1
direct
0.000 0.000 0.039
0.000 0.000 0.461
0.500 0.500 0.250
0.500 0.500 0.750
```

***

Record 5
TlCdSe2 | PBE-GGA | relaxed

Final energy ... -10.41 eV for the cell shown

Cell and atoms, written as POSCAR:
```
TlCdSe2
1.0
0.000 3.657 3.657
3.657 0.000 3.657
3.657 3.657 0.000
Cd Tl Se
1 1 2
direct
0.000 0.000 0.000
0.500 0.500 0.500
0.250 0.250 0.250
0.750 0.750 0.750
```

***

Record 6
Tl2CdSe | PBE-GGA | relaxed

Excess energy over the best structure of this formula in the dataset ... 0.0000 eV/atom

Cell and atoms, written as POSCAR:
```
Tl2CdSe
1.0
-2.256 3.271 1.312
0.056 -1.808 4.606
4.930 2.042 3.386
Cd Se Tl
1 1 2
direct
0.000 0.687 0.474
0.500 0.553 0.800
0.000 0.985 0.911
0.500 0.275 0.315
```

***

Record 7
Tl2CdSe | PBE-GGA | relaxed

Excess energy over the best structure of this formula in the dataset ... 0.0387 eV/atom

Cell and atoms, written as POSCAR:
```
Tl2CdSe
1.0
4.446 0.000 0.000
2.223 3.850 0.000
2.223 1.283 7.852
Tl Se Cd
2 1 1
direct
0.071 0.071 0.787
0.262 0.262 0.213
0.667 0.667 0.000
0.500 0.500 0.501
```

***

Record 8
TlCdSe2 | PBE-GGA | relaxed

Final energy ... -10.46 eV for the cell shown

Cell and atoms, written as POSCAR:
```
TlCdSe2
1.0
3.086 0.000 0.000
0.000 5.700 0.000
0.000 0.000 5.700
Se Cd Tl
2 1 1
direct
0.000 0.500 0.500
0.000 0.000 0.000
0.500 0.000 0.500
0.500 0.500 0.000
```

***

Record 9
Tl2CdSe | PBE-GGA | relaxed

Excess energy over the best structure of this formula in the dataset ... 0.0392 eV/atom

Cell and atoms, written as POSCAR:
```
Tl2CdSe
1.0
-5.292 1.899 4.838
-1.965 -0.438 7.139
-1.336 4.063 6.060
Se Tl Cd
1 2 1
direct
0.750 0.750 0.750
0.489 0.489 0.489
0.011 0.011 0.011
0.250 0.250 0.250
```

***

Record 10
TlCd2Se | PBE-GGA | relaxed

Excess energy over the best structure of this formula in the dataset ... 0.0729 eV/atom

Cell and atoms, written as POSCAR:
```
TlCd2Se
1.0
6.896 0.298 -0.203
4.211 5.469 0.203
-5.439 -3.103 2.910
Cd Tl Se
2 1 1
direct
0.697 0.197 0.500
0.003 0.003 0.000
0.293 0.793 0.500
0.507 0.507 0.000
```

***

Record 11
Tl2CdSe | PBE-GGA | relaxed

Excess energy over the best structure of this formula in the dataset ... 0.0793 eV/atom

Cell and atoms, written as POSCAR:
```
Tl2CdSe
1.0
0.000 3.880 3.880
3.880 0.000 3.880
3.880 3.880 0.000
Tl Se Cd
2 1 1
direct
0.750 0.750 0.750
0.250 0.250 0.250
0.000 0.000 0.000
0.500 0.500 0.500
```

***

Record 12
TlCdSe2 | PBE-GGA | relaxed

Final energy ... -10.88 eV for the cell shown

Cell and atoms, written as POSCAR:
```
TlCdSe2
1.0
7.204 0.009 0.016
-3.853 4.485 -0.011
-0.502 2.165 3.838
Se Cd Tl
2 1 1
direct
0.500 0.000 0.500
0.000 0.000 0.000
0.500 0.500 0.000
0.000 0.500 0.500
```